VASP calculation (meta-GGA SCAN) on Zn2HgPb at its PBEsol-relaxed geometry.

Cell: 4.493 3.683 5.058 Å, 90.00 90.00 90.00°
Element x y z (fractional)
Hg: 0.500 0.500 0.000
Pb: 0.000 0.500 0.500
Zn: 0.000 0.000 0.000
Zn: 0.500 0.000 0.500

ΔH_f (0 K)	23.6	kJ/mol of atoms
V	84	Å³/f.u.
excess energy over the best structure of this formula in the dataset	108	meV per atom